1.
The following is a DFT calculation (GGA-PBEsol) of Ba2SnH2 after structural relaxation.

a = 8.4465 Å, b = 8.4465 Å, c = 8.4465 Å
α = 152.11°, β = 152.11°, γ = 39.86°
Last column: nearest neighbours and their distance in Å.
Sites, in units of the cell vectors:
1 Ba 0.1496 0.1496 0.0000  4 H 2.59
2 Ba 0.8504 0.8504 0.0000  4 H 2.59
3 Sn 0.5000 0.5000 0.0000  8 Ba 3.73, 4 Sn 4.07
4 H 0.2500 0.7500 0.5000  4 Ba 2.59, 4 H 2.88
5 H 0.7500 0.2500 0.5000  4 Ba 2.59, 4 H 2.88

Calculated values
- VASP energy: -3.517 eV per atom


2.
The following is a DFT calculation (GGA-PBEsol) of Ce2Co3Si5 after structural relaxation.

a = 7.8480 Å, b = 7.8480 Å, c = 7.8480 Å
α = 104.99°, β = 89.58°, γ = 138.47°
Last column: nearest neighbours and their distance in Å.
Sites, in units of the cell vectors:
1 Ce 0.1325 0.2352 0.3677  10 Si 2.85-3.10, 3 Co 2.94-3.01
2 Ce 0.3675 0.7352 0.1028  10 Si 2.85-3.10, 3 Co 2.94-3.01
3 Ce 0.6325 0.2648 0.8972  10 Si 2.85-3.10, 3 Co 2.94-3.01
4 Ce 0.8675 0.7648 0.6323  10 Si 2.85-3.10, 3 Co 2.94-3.01
5 Co 0.1362 0.8839 0.0202  5 Si 2.26-2.34
6 Co 0.2500 0.7500 0.5000  4 Si 2.31
7 Co 0.3638 0.3839 0.7477  5 Si 2.26-2.34
8 Co 0.6362 0.6161 0.2523  5 Si 2.26-2.34
9 Co 0.7500 0.2500 0.5000  4 Si 2.31
10 Co 0.8638 0.1161 0.9798  5 Si 2.26-2.34
11 Si 0.0162 0.7500 0.2662  2 Co 2.29, 2 Si 2.47
12 Si 0.1037 0.6502 0.7539  3 Co 2.26-2.31, 2 Si 2.47
13 Si 0.2500 0.2500 0.0000  4 Co 2.34
14 Si 0.3963 0.1502 0.5465  3 Co 2.26-2.31, 2 Si 2.47
15 Si 0.4838 0.7500 0.7338  2 Co 2.29, 2 Si 2.47
16 Si 0.5162 0.2500 0.2662  2 Co 2.29, 2 Si 2.47
17 Si 0.6037 0.8498 0.4535  3 Co 2.26-2.31, 2 Si 2.47
18 Si 0.7500 0.7500 0.0000  4 Co 2.34
19 Si 0.8963 0.3498 0.2461  3 Co 2.26-2.31, 2 Si 2.47
20 Si 0.9838 0.2500 0.7338  2 Co 2.29, 2 Si 2.47

Calculated values
- Uncorrected formation energy: -80.3 kJ per mole of atoms


3.
The following is a DFT calculation (GGA-PBEsol) of Mg3NbBr after structural relaxation.

a = 4.9754 Å, b = 4.9754 Å, c = 4.9754 Å
α = 90.00°, β = 90.00°, γ = 90.00°
Last column: nearest neighbours and their distance in Å.
Sites, in units of the cell vectors:
1 Mg 0.0000 0.0000 0.5000  2 Br 2.49
2 Mg 0.0000 0.5000 0.0000  2 Br 2.49
3 Mg 0.5000 0.0000 0.0000  2 Br 2.49
4 Nb 0.5000 0.5000 0.5000  12 Mg 3.52
5 Br 0.0000 0.0000 0.0000  6 Mg 2.49

Calculated values
- Uncorrected formation energy: 81.3 kJ per mole of atoms


4.
The following is a DFT calculation (GGA-PBEsol) of Ca2MgPt after structural relaxation.

a = 4.8225 Å, b = 4.8225 Å, c = 4.0163 Å
α = 90.00°, β = 90.00°, γ = 90.00°
Last column: nearest neighbours and their distance in Å.
Sites, in units of the cell vectors:
1 Ca 0.0000 0.5000 0.0000  4 Mg 3.14, 4 Pt 3.14, 4 Ca 3.41
2 Ca 0.5000 0.0000 0.0000  4 Mg 3.14, 4 Pt 3.14, 4 Ca 3.41
3 Mg 0.0000 0.0000 0.5000  8 Ca 3.14, 4 Pt 3.41
4 Pt 0.5000 0.5000 0.5000  8 Ca 3.14, 4 Mg 3.41

Calculated values
- Energy relative to the elements: -0.382 eV/atom


5.
The following is a DFT calculation (GGA-PBEsol) of LiSc2Mn after structural relaxation.

a = 3.0838 Å, b = 4.0922 Å, c = 5.8545 Å
α = 90.00°, β = 90.00°, γ = 90.00°
Last column: nearest neighbours and their distance in Å.
Sites, in units of the cell vectors:
1 Li 0.0000 0.0000 0.0000  1 Sc 2.61
2 Sc 0.0000 0.0000 0.4457  1 Li 2.61, 4 Mn 2.77
3 Sc 0.5000 0.5000 0.7568  2 Mn 2.88-2.98, 4 Li 2.93, 6 Sc 3.08-3.14
4 Mn 0.5000 0.5000 0.2652  6 Sc 2.77-2.98, 4 Li 3.00, 2 Mn 3.08

Calculated values
- Energy relative to the elements: 0.316 eV/atom


6.
The following is a DFT calculation (GGA-PBEsol) of BaGeAuCl2 after structural relaxation.

a = 5.3459 Å, b = 5.3459 Å, c = 4.8208 Å
α = 90.00°, β = 90.00°, γ = 90.00°
Last column: nearest neighbours and their distance in Å.
Sites, in units of the cell vectors:
1 Ba 0.0000 0.0000 0.0000  8 Cl 3.60, 4 Ge 3.78
2 Ge 0.5000 0.5000 0.0000  2 Au 2.41
3 Au 0.5000 0.5000 0.5000  2 Ge 2.41, 4 Cl 2.67
4 Cl 0.0000 0.5000 0.5000  2 Au 2.67
5 Cl 0.5000 0.0000 0.5000  2 Au 2.67

Calculated values
- Uncorrected formation energy: -58.4 kJ per mole of atoms


7.
The following is a DFT calculation (GGA-PBEsol) of KInTe after structural relaxation.

a = 5.5864 Å, b = 5.5864 Å, c = 5.5864 Å
α = 60.00°, β = 60.00°, γ = 60.00°
Last column: nearest neighbours and their distance in Å.
Sites, in units of the cell vectors:
1 K 0.0000 0.0000 0.0000  4 Te 3.42
2 In 0.5000 0.5000 0.5000  4 Te 3.42
3 Te 0.7500 0.7500 0.7500  4 In 3.42, 4 K 3.42

Calculated values
- Uncorrected formation energy: -42.0 kJ per mole of atoms
- Distance to the lowest polymorph of the same formula: 104 meV per atom


8.
The following is a DFT calculation (GGA-PBEsol) of CsTiZnS3 after structural relaxation.

a = 7.8449 Å, b = 7.8449 Å, c = 9.7196 Å
α = 90.00°, β = 90.00°, γ = 152.80°
Last column: nearest neighbours and their distance in Å.
Sites, in units of the cell vectors:
1 Cs 0.2446 0.7554 0.7500  8 S 3.42-3.54, 2 Cs 3.69, 2 Zn 3.81
2 Cs 0.7554 0.2446 0.2500  8 S 3.42-3.54, 2 Cs 3.69, 2 Zn 3.81
3 Ti 0.5000 0.5000 0.0000  6 S 2.52-2.57
4 Ti 0.5000 0.5000 0.5000  6 S 2.52-2.57
5 Zn 0.0367 0.9633 0.2500  4 S 2.27-2.32
6 Zn 0.9633 0.0367 0.7500  4 S 2.27-2.32
7 S 0.1084 0.8916 0.0450  1 Zn 2.27, 2 Ti 2.52
8 S 0.1084 0.8916 0.4550  1 Zn 2.27, 2 Ti 2.52
9 S 0.4446 0.5554 0.2500  2 Zn 2.32, 2 Ti 2.57
10 S 0.5554 0.4446 0.7500  2 Zn 2.32, 2 Ti 2.57
11 S 0.8916 0.1084 0.5450  1 Zn 2.27, 2 Ti 2.52
12 S 0.8916 0.1084 0.9550  1 Zn 2.27, 2 Ti 2.52

Calculated values
- Uncorrected formation energy: -111.6 kJ per mole of atoms


9.
The following is a DFT calculation (GGA-PBEsol) of KCo2Hg after structural relaxation.

a = 3.0103 Å, b = 3.0103 Å, c = 8.1309 Å
α = 90.00°, β = 90.00°, γ = 90.00°
Last column: nearest neighbours and their distance in Å.
Sites, in units of the cell vectors:
1 K 0.0000 0.0000 0.0000  4 K 3.01, 4 Co 3.32
2 Co 0.0000 0.0000 0.4289  4 Co 2.33
3 Co 0.5000 0.5000 0.3135  4 Co 2.33
4 Hg 0.5000 0.5000 0.6598  5 Co 2.82-2.84, 4 Hg 3.01

Calculated values
- Energy relative to the elements: 0.457 eV/atom


10.
The following is a DFT calculation (GGA-PBEsol) of Rb2NaSb2 after structural relaxation.

a = 8.2823 Å, b = 8.2823 Å, c = 5.6795 Å
α = 90.00°, β = 90.00°, γ = 90.00°
Last column: nearest neighbours and their distance in Å.
Sites, in units of the cell vectors:
1 Rb 0.1709 0.3291 0.0000  6 Sb 3.75, 1 Rb 4.00, 4 Na 4.18
2 Rb 0.3291 0.8291 0.0000  6 Sb 3.75, 1 Rb 4.00, 4 Na 4.18
3 Rb 0.6709 0.1709 0.0000  6 Sb 3.75, 1 Rb 4.00, 4 Na 4.18
4 Rb 0.8291 0.6709 0.0000  6 Sb 3.75, 1 Rb 4.00, 4 Na 4.18
5 Na 0.0000 0.0000 0.5000  4 Sb 3.30
6 Na 0.5000 0.5000 0.5000  4 Sb 3.30
7 Sb 0.1200 0.6200 0.5000  1 Sb 2.81
8 Sb 0.3800 0.1200 0.5000  1 Sb 2.81
9 Sb 0.6200 0.8800 0.5000  1 Sb 2.81
10 Sb 0.8800 0.3800 0.5000  1 Sb 2.81

Calculated values
- Uncorrected formation energy: -30.9 kJ per mole of atoms


11.
The following is a DFT calculation (GGA-PBEsol) of KGaBr3 after structural relaxation.

a = 5.3107 Å, b = 5.3107 Å, c = 5.3107 Å
α = 90.00°, β = 90.00°, γ = 90.00°
Last column: nearest neighbours and their distance in Å.
Sites, in units of the cell vectors:
1 K 0.0000 0.0000 0.0000  12 Br 3.76
2 Ga 0.5000 0.5000 0.5000  6 Br 2.66
3 Br 0.0000 0.5000 0.5000  2 Ga 2.66
4 Br 0.5000 0.0000 0.5000  2 Ga 2.66
5 Br 0.5000 0.5000 0.0000  2 Ga 2.66

Calculated values
- Uncorrected formation energy: -103.0 kJ per mole of atoms


12.
The following is a DFT calculation (GGA-PBEsol) of K4MgRu after structural relaxation.

a = 6.8405 Å, b = 6.8405 Å, c = 6.8405 Å
α = 60.00°, β = 60.00°, γ = 60.00°
Last column: nearest neighbours and their distance in Å.
Sites, in units of the cell vectors:
1 K 0.1238 0.1238 0.1238  6 K 3.39-3.45
2 K 0.1238 0.1238 0.6287  6 K 3.39-3.45
3 K 0.1238 0.6287 0.1238  6 K 3.39-3.45
4 K 0.6287 0.1238 0.1238  6 K 3.39-3.45
5 Mg 0.5000 0.5000 0.5000  12 K 4.01, 4 Ru 4.19
6 Ru 0.7500 0.7500 0.7500  12 K 4.01, 4 Mg 4.19

Calculated values
- Energy relative to the elements: 1.149 eV/atom